Material: Ho3Si3Ni2
Method: DFT, GGA-PBE
State: relaxed

a b c (Å): 4.1394 10.0961 13.8345
angles (deg): 90.00 90.00 90.00
Space group Cmcm (No. 63)
Symmetry-distinct sites (fractional):
Ho: 0.0000 0.0890 0.1098 [8 per cell]
Ho: 0.0000 0.3707 0.2500 [4 per cell]
Si: 0.0000 0.3286 0.7500 [4 per cell]
Si: 0.0000 0.3812 0.0379 [8 per cell]
Ni: 0.0000 0.2026 0.5961 [8 per cell]

Properties
Raw total energy ... -48.22 eV per formula unit
E_form (uncorrected) ... -0.83 eV per atom



Material: ErTl2AgCl6
Method: DFT, GGA-PBE
State: relaxed

a b c (Å): 7.3636 7.6673 12.6463
angles (deg): 90.00 125.06 90.00
Space group P2_1/c (No. 14)
Symmetry-distinct sites (fractional):
Er: 0.0000 0.0000 0.0000 [2 per cell]
Tl: 0.2700 0.0659 0.7514 [4 per cell]
Ag: 0.5000 0.0000 0.5000 [2 per cell]
Cl: 0.1609 0.0177 0.2469 [4 per cell]
Cl: 0.2321 0.7156 0.0423 [4 per cell]
Cl: 0.3311 0.1918 0.0421 [4 per cell]

Properties
Raw total energy ... -37.52 eV per formula unit
E_form (uncorrected) ... -1.43 eV per atom